(1)
Entry from the Alexandria database: crystalline BaAc5Nd4 at its relaxed geometry (GGA-PBE).

Calculated values
DFT formation energy: 0.431 eV/f.u.
Calculated volume: 42.01 Å³ per atom

Cell and atoms, written as extended XYZ:
```
10
Lattice="-3.494 1.801 -0.122 -0.645 -1.493 -3.581 -11.643 -21.832 11.201" Properties=species:S:1:pos:R:3 pbc="T T T"
Ba 0.000 0.000 0.000
Ac -3.442 -2.420 -0.531
Ac -5.661 -6.582 1.604
Ac -7.891 -10.762 3.749
Ac -10.120 -14.943 5.894
Ac -12.339 -19.104 8.029
Nd -2.471 -4.633 2.377
Nd -4.707 -8.827 4.529
Nd -6.935 -13.005 6.672
Nd -9.172 -17.199 8.824
```


(2)
Entry from the Alexandria database: crystalline Ta2PbN at its relaxed geometry (GGA-PBE).

Calculated values
ΔE to the lowest computed polymorph: 0 meV/atom
Calculated volume: 20.92 Å³ per atom

Cell and atoms, written as extended XYZ:
```
8
Lattice="5.422 0.000 0.000 0.000 5.422 0.000 2.711 2.711 5.694" Properties=species:S:1:pos:R:3 pbc="T T T"
Pb 0.000 0.000 0.000
Pb 5.422 2.711 2.847
N 2.711 2.711 0.000
N 2.711 5.422 2.847
Ta 3.237 1.356 1.423
Ta 2.186 4.067 1.423
Ta 4.067 4.897 4.270
Ta 6.778 5.948 4.270
```